1.
# CrRu4W (GGA-PBE, optimized geometry)
# final energy: -228.0 eV/cell
# energy of formation: 2.7 eV/f.u.
# total magnetization: 11.50 Bohr magnetons per cell
data_CrRu4W
_chemical_formula_sum 'Cr4 Ru16 W4'
_cell_length_a 7.1304
_cell_length_b 7.1304
_cell_length_c 7.1304
_cell_angle_alpha 90.00
_cell_angle_beta 90.00
_cell_angle_gamma 90.00
_space_group_name_H-M_alt 'F -4 3 m'
_space_group_IT_number 216
_space_group_name_Hall 'F -4 2 3'
loop_
_atom_site_label
_atom_site_type_symbol
_atom_site_fract_x
_atom_site_fract_y
_atom_site_fract_z
Cr1 Cr 0.0000 0.0000 0.0000
Ru1 Ru 0.1257 0.1257 0.6257
W1 W 0.2500 0.2500 0.2500

2.
# CrRu6W (GGA-PBE, optimized geometry)
# final energy: -150.0 eV/cell
# energy of formation: 3.2 eV/f.u.
# total magnetization: 4.75 Bohr magnetons per cell
data_CrRu6W
_chemical_formula_sum 'Cr2 Ru12 W2'
_cell_length_a 4.3864
_cell_length_b 7.3972
_cell_length_c 7.6594
_cell_angle_alpha 90.00
_cell_angle_beta 90.00
_cell_angle_gamma 90.00
_space_group_name_H-M_alt 'C m m m'
_space_group_IT_number 65
_space_group_name_Hall '-C 2 2'
loop_
_atom_site_label
_atom_site_type_symbol
_atom_site_fract_x
_atom_site_fract_y
_atom_site_fract_z
Cr1 Cr 0.0000 0.0000 0.0000
Ru1 Ru 0.0000 0.1700 0.3254
Ru2 Ru 0.0000 0.5000 0.1636
W1 W 0.0000 0.5000 0.5000

3.
# CrRuW2 (GGA-PBE, optimized geometry)
# final energy: -88.2 eV/cell
# energy of formation: 0.7 eV/f.u.
# energy relative to the lowest polymorph listed for this composition: 0.0588 eV/atom
# total magnetization: 0.00 Bohr magnetons per cell
data_CrRuW2
_chemical_formula_sum 'Cr2 Ru2 W4'
_cell_length_a 3.2925
_cell_length_b 4.2908
_cell_length_c 8.3111
_cell_angle_alpha 90.00
_cell_angle_beta 90.00
_cell_angle_gamma 90.00
_space_group_name_H-M_alt 'C m m 2'
_space_group_IT_number 35
_space_group_name_Hall 'C 2 -2'
loop_
_atom_site_label
_atom_site_type_symbol
_atom_site_fract_x
_atom_site_fract_y
_atom_site_fract_z
Cr1 Cr 0.0000 0.0000 0.0000
Ru1 Ru 0.0000 0.5000 0.7801
W1 W 0.0000 0.0000 0.5219
W2 W 0.0000 0.5000 0.2485

4.
# CrRuW2 (GGA-PBE, optimized geometry)
# final energy: -176.4 eV/cell
# energy of formation: 0.7 eV/f.u.
# energy relative to the lowest polymorph listed for this composition: 0.0525 eV/atom
# total magnetization: 7.32 Bohr magnetons per cell
data_CrRuW2
_chemical_formula_sum 'Cr4 Ru4 W8'
_cell_length_a 6.1950
_cell_length_b 6.1950
_cell_length_c 6.1950
_cell_angle_alpha 90.00
_cell_angle_beta 90.00
_cell_angle_gamma 90.00
_space_group_name_H-M_alt 'F -4 3 m'
_space_group_IT_number 216
_space_group_name_Hall 'F -4 2 3'
loop_
_atom_site_label
_atom_site_type_symbol
_atom_site_fract_x
_atom_site_fract_y
_atom_site_fract_z
Cr1 Cr 0.0000 0.0000 0.0000
Ru1 Ru 0.2500 0.2500 0.7500
W1 W 0.0000 0.0000 0.5000
W2 W 0.2500 0.2500 0.2500

5.
# ZrCrRuW2 (GGA-PBE, optimized geometry)
# final energy: -44.3 eV/cell
# energy of formation: 9.0 eV/f.u.
# total magnetization: 0.18 Bohr magnetons per cell
data_ZrCrRuW2
_chemical_formula_sum 'Zr1 Cr1 Ru1 W2'
_cell_length_a 4.6859
_cell_length_b 4.6859
_cell_length_c 4.8541
_cell_angle_alpha 90.00
_cell_angle_beta 90.00
_cell_angle_gamma 90.00
_space_group_name_H-M_alt 'P 4/m m m'
_space_group_IT_number 123
_space_group_name_Hall '-P 4 2'
loop_
_atom_site_label
_atom_site_type_symbol
_atom_site_fract_x
_atom_site_fract_y
_atom_site_fract_z
Zr1 Zr 0.0000 0.0000 0.0000
Cr1 Cr 0.5000 0.5000 0.0000
Ru1 Ru 0.0000 0.0000 0.5000
W1 W 0.0000 0.5000 0.5000

6.
# YCr2Ru (GGA-PBE, optimized geometry)
# final energy: -67.6 eV/cell
# energy of formation: 1.2 eV/f.u.
# energy relative to the lowest polymorph listed for this composition: 0.0581 eV/atom
# total magnetization: 0.00 Bohr magnetons per cell
data_YCr2Ru
_chemical_formula_sum 'Y2 Cr4 Ru2'
_cell_length_a 9.6089
_cell_length_b 3.0684
_cell_length_c 4.9221
_cell_angle_alpha 90.00
_cell_angle_beta 106.86
_cell_angle_gamma 90.00
_space_group_name_H-M_alt 'C 1 2/m 1'
_space_group_IT_number 12
_space_group_name_Hall '-C 2y'
loop_
_atom_site_label
_atom_site_type_symbol
_atom_site_fract_x
_atom_site_fract_y
_atom_site_fract_z
Y1 Y 0.0000 0.0000 0.0000
Cr1 Cr 0.2221 0.0000 0.6353
Ru1 Ru 0.0000 0.5000 0.5000

7.
# YCr2Ru (GGA-PBE, optimized geometry)
# final energy: -34.0 eV/cell
# energy of formation: 1.0 eV/f.u.
# energy relative to the lowest polymorph listed for this composition: 0.0000 eV/atom
# total magnetization: 2.16 Bohr magnetons per cell
data_YCr2Ru
_chemical_formula_sum 'Y1 Cr2 Ru1'
_cell_length_a 3.0333
_cell_length_b 3.0333
_cell_length_c 7.2654
_cell_angle_alpha 90.00
_cell_angle_beta 90.00
_cell_angle_gamma 90.00
_space_group_name_H-M_alt 'P 4 m m'
_space_group_IT_number 99
_space_group_name_Hall 'P 4 -2'
loop_
_atom_site_label
_atom_site_type_symbol
_atom_site_fract_x
_atom_site_fract_y
_atom_site_fract_z
Y1 Y 0.0000 0.0000 0.0000
Cr1 Cr 0.0000 0.0000 0.5109
Cr2 Cr 0.5000 0.5000 0.3265
Ru1 Ru 0.5000 0.5000 0.7054

8.
# Y4CrRu (GGA-PBE, optimized geometry)
# final energy: -155.9 eV/cell
# energy of formation: 5.8 eV/f.u.
# total magnetization: 14.68 Bohr magnetons per cell
data_Y4CrRu
_chemical_formula_sum 'Y16 Cr4 Ru4'
_cell_length_a 8.5685
_cell_length_b 8.5685
_cell_length_c 8.5685
_cell_angle_alpha 90.00
_cell_angle_beta 90.00
_cell_angle_gamma 90.00
_space_group_name_H-M_alt 'F -4 3 m'
_space_group_IT_number 216
_space_group_name_Hall 'F -4 2 3'
loop_
_atom_site_label
_atom_site_type_symbol
_atom_site_fract_x
_atom_site_fract_y
_atom_site_fract_z
Y1 Y 0.1242 0.1242 0.3758
Cr1 Cr 0.0000 0.0000 0.0000
Ru1 Ru 0.2500 0.2500 0.7500

9.
# YCr2Ru (GGA-PBE, optimized geometry)
# final energy: -33.9 eV/cell
# energy of formation: 1.1 eV/f.u.
# energy relative to the lowest polymorph listed for this composition: 0.0343 eV/atom
# total magnetization: 0.41 Bohr magnetons per cell
data_YCr2Ru
_chemical_formula_sum 'Y1 Cr2 Ru1'
_cell_length_a 3.3161
_cell_length_b 4.3500
_cell_length_c 4.7554
_cell_angle_alpha 90.00
_cell_angle_beta 90.00
_cell_angle_gamma 90.00
_space_group_name_H-M_alt 'P m m m'
_space_group_IT_number 47
_space_group_name_Hall '-P 2 2'
loop_
_atom_site_label
_atom_site_type_symbol
_atom_site_fract_x
_atom_site_fract_y
_atom_site_fract_z
Y1 Y 0.0000 0.0000 0.0000
Cr1 Cr 0.0000 0.5000 0.5000
Cr2 Cr 0.5000 0.0000 0.5000
Ru1 Ru 0.5000 0.5000 0.0000

10.
# Y2Cr2Ru (GGA-PBE, optimized geometry)
# final energy: -80.7 eV/cell
# energy of formation: 1.1 eV/f.u.
# energy relative to the lowest polymorph listed for this composition: 0.0000 eV/atom
# total magnetization: 2.98 Bohr magnetons per cell
data_Y2Cr2Ru
_chemical_formula_sum 'Y4 Cr4 Ru2'
_cell_length_a 6.3101
_cell_length_b 6.3101
_cell_length_c 4.7733
_cell_angle_alpha 90.00
_cell_angle_beta 90.00
_cell_angle_gamma 90.00
_space_group_name_H-M_alt 'P 4/m b m'
_space_group_IT_number 127
_space_group_name_Hall '-P 4 2ab'
loop_
_atom_site_label
_atom_site_type_symbol
_atom_site_fract_x
_atom_site_fract_y
_atom_site_fract_z
Y1 Y 0.1803 0.3197 0.0000
Cr1 Cr 0.1214 0.6214 0.5000
Ru1 Ru 0.0000 0.0000 0.5000

11.
# YCr2Ru (GGA-PBE, optimized geometry)
# final energy: -66.6 eV/cell
# energy of formation: 1.7 eV/f.u.
# energy relative to the lowest polymorph listed for this composition: 0.1848 eV/atom
# total magnetization: 0.00 Bohr magnetons per cell
data_YCr2Ru
_chemical_formula_sum 'Y2 Cr4 Ru2'
_cell_length_a 3.1167
_cell_length_b 4.4764
_cell_length_c 9.1021
_cell_angle_alpha 90.00
_cell_angle_beta 90.00
_cell_angle_gamma 90.00
_space_group_name_H-M_alt 'I m m m'
_space_group_IT_number 71
_space_group_name_Hall '-I 2 2'
loop_
_atom_site_label
_atom_site_type_symbol
_atom_site_fract_x
_atom_site_fract_y
_atom_site_fract_z
Y1 Y 0.0000 0.0000 0.0000
Cr1 Cr 0.0000 0.5000 0.2349
Ru1 Ru 0.0000 0.0000 0.5000

12.
# YCr2Ru (GGA-PBE, optimized geometry)
# final energy: -98.3 eV/cell
# energy of formation: 2.2 eV/f.u.
# energy relative to the lowest polymorph listed for this composition: 0.3096 eV/atom
# total magnetization: 0.01 Bohr magnetons per cell
data_YCr2Ru
_chemical_formula_sum 'Y3 Cr6 Ru3'
_cell_length_a 2.9536
_cell_length_b 2.9536
_cell_length_c 25.5227
_cell_angle_alpha 90.00
_cell_angle_beta 90.00
_cell_angle_gamma 120.00
_space_group_name_H-M_alt 'R 3 m'
_space_group_IT_number 160
_space_group_name_Hall 'R 3 -2"'
loop_
_atom_site_label
_atom_site_type_symbol
_atom_site_fract_x
_atom_site_fract_y
_atom_site_fract_z
Y1 Y 0.0000 0.0000 0.0000
Cr1 Cr 0.0000 0.0000 0.2341
Cr2 Cr 0.0000 0.0000 0.5059
Ru1 Ru 0.0000 0.0000 0.7641

13.
# YCr2Ru (GGA-PBE, optimized geometry)
# final energy: -33.5 eV/cell
# energy of formation: 1.5 eV/f.u.
# energy relative to the lowest polymorph listed for this composition: 0.1349 eV/atom
# total magnetization: 4.55 Bohr magnetons per cell
data_YCr2Ru
_chemical_formula_sum 'Y1 Cr2 Ru1'
_cell_length_a 3.0315
_cell_length_b 3.0315
_cell_length_c 7.4049
_cell_angle_alpha 90.00
_cell_angle_beta 90.00
_cell_angle_gamma 90.00
_space_group_name_H-M_alt 'P 4/m m m'
_space_group_IT_number 123
_space_group_name_Hall '-P 4 2'
loop_
_atom_site_label
_atom_site_type_symbol
_atom_site_fract_x
_atom_site_fract_y
_atom_site_fract_z
Y1 Y 0.0000 0.0000 0.0000
Cr1 Cr 0.5000 0.5000 0.3021
Ru1 Ru 0.0000 0.0000 0.5000

14.
# YCrRu3 (GGA-PBE, optimized geometry)
# final energy: -31.4 eV/cell
# energy of formation: 12.6 eV/f.u.
# total magnetization: 0.46 Bohr magnetons per cell
data_YCrRu3
_chemical_formula_sum 'Y1 Cr1 Ru3'
_cell_length_a 4.7460
_cell_length_b 4.7460
_cell_length_c 4.7460
_cell_angle_alpha 90.00
_cell_angle_beta 90.00
_cell_angle_gamma 90.00
_space_group_name_H-M_alt 'P m -3 m'
_space_group_IT_number 221
_space_group_name_Hall '-P 4 2 3'
loop_
_atom_site_label
_atom_site_type_symbol
_atom_site_fract_x
_atom_site_fract_y
_atom_site_fract_z
Y1 Y 0.0000 0.0000 0.0000
Cr1 Cr 0.5000 0.5000 0.5000
Ru1 Ru 0.0000 0.0000 0.5000

15.
# YCr2Ru (GGA-PBE, optimized geometry)
# final energy: -96.2 eV/cell
# energy of formation: 2.9 eV/f.u.
# energy relative to the lowest polymorph listed for this composition: 0.4891 eV/atom
# total magnetization: 8.12 Bohr magnetons per cell
data_YCr2Ru
_chemical_formula_sum 'Y3 Cr6 Ru3'
_cell_length_a 2.9127
_cell_length_b 2.9127
_cell_length_c 26.8931
_cell_angle_alpha 90.00
_cell_angle_beta 90.00
_cell_angle_gamma 120.00
_space_group_name_H-M_alt 'R -3 m'
_space_group_IT_number 166
_space_group_name_Hall '-R 3 2"'
loop_
_atom_site_label
_atom_site_type_symbol
_atom_site_fract_x
_atom_site_fract_y
_atom_site_fract_z
Y1 Y 0.0000 0.0000 0.0000
Cr1 Cr 0.0000 0.0000 0.2384
Ru1 Ru 0.0000 0.0000 0.5000